! HfMn2ZnHg, optimized geometry, DFT PBE; values from VASP
&SYSTEM
  ibrav = 0, nat = 5, ntyp = 4
/
ATOMIC_SPECIES
Mn 54.94 Mn.upf
Hg 200.59 Hg.upf
Hf 178.49 Hf.upf
Zn 65.41 Zn.upf
CELL_PARAMETERS angstrom
-0.923 -3.921 2.863
0.193 -2.811 -3.788
4.851 -0.623 0.709
ATOMIC_POSITIONS crystal
Mn 0.500 0.000 0.000
Mn 0.000 0.000 0.500
Hg 0.000 0.000 0.000
Hf 0.500 0.500 0.500
Zn 0.000 0.500 0.000
! - Crystal system: tetragonal
! - E_form: 5.70 eV/f.u.
! - Symmetry: P4/mmm
! - Fermi-level density of states: 4.8 states/eV/f.u.